No. 1
The following is a DFT calculation (GGA-PBE) of a geometry-optimized Ba2AcYSe4 structure.

It has space group P2/m (No. 10), with a = 7.686 Å, b = 4.439 Å, c = 7.883 Å, α = 90.00°, β = 108.89° and γ = 90.00°. The inequivalent atoms are Ba at (0.000, 0.000, 0.000), Ba at (0.500, 0.500, 0.000), Ac at (0.000, 0.500, 0.500), Y at (0.500, 0.000, 0.500), Se at (0.257, 0.000, 0.726) and Se at (0.274, 0.500, 0.282).

The calculation puts the density of states at the Fermi level at 3.8 states/eV/f.u.

=====

No. 2
The following is a DFT calculation (GGA-PBE) of a geometry-optimized BaAc2ZnSe5 structure.

It has space group I4/mcm (No. 140), with a = 8.555 Å, b = 8.555 Å, c = 14.508 Å, α = 90.00°, β = 90.00° and γ = 90.00°. The inequivalent atoms are Ba at (0.000, 0.000, 0.250), Ac at (0.161, 0.339, 0.000), Zn at (0.000, 0.500, 0.250), Se at (0.000, 0.000, 0.000) and Se at (0.151, 0.349, 0.361).

=====

No. 3
The following is a DFT calculation (GGA-PBE) of a geometry-optimized Ba2AcZnSe5 structure.

It has space group Cmc2_1 (No. 36), with a = 4.491 Å, b = 18.528 Å, c = 13.841 Å, α = 90.00°, β = 90.00° and γ = 90.00°. The inequivalent atoms are Ba at (0.000, 0.109, 0.000), Ba at (0.000, 0.134, 0.670), Ac at (0.000, 0.175, 0.341), Zn at (0.000, 0.466, 0.727), Se at (0.000, 0.010, 0.312), Se at (0.000, 0.319, 0.999), Se at (0.000, 0.332, 0.680), Se at (0.000, 0.337, 0.341) and Se at (0.000, 0.479, 0.064).

The calculation puts the density of states at the Fermi level at 1.3 states/eV/f.u.

=====

No. 4
The following is a DFT calculation (GGA-PBE) of a geometry-optimized BaAc2Si structure.

It has space group R3m (No. 160, hexagonal axes), with a = 4.4576 Å, b = 4.4576 Å, c = 32.5036 Å, α = 90.00°, β = 90.00° and γ = 120.00°. The inequivalent atoms are Ba at (0.0000, 0.0000, 0.0000), Ac at (0.0000, 0.0000, 0.5526), Ac at (0.0000, 0.0000, 0.7788) and Si at (0.0000, 0.0000, 0.1650).

Its relative energy among the computed polymorphs is 0.000 eV/f.u. The calculation puts the density of states at the Fermi level at 5.2 states/eV/f.u.

=====

No. 5
The following is a DFT calculation (GGA-PBE) of a geometry-optimized Ba4AcSi4 structure.

It has space group P4_2/n (No. 86, origin choice 2), with a = 9.877 Å, b = 9.877 Å, c = 6.902 Å, α = 90.00°, β = 90.00° and γ = 90.00°. The inequivalent atoms are Ba at (0.047, 0.676, 0.111), Ac at (0.250, 0.250, 0.250) and Si at (0.005, 0.394, 0.420).

The calculation puts the density of states at the Fermi level at 5.8 states/eV/f.u.

=====

No. 6
The following is a DFT calculation (GGA-PBE) of a geometry-optimized BaAc2Si structure.

It has space group P4/mmm (No. 123), with a = 4.003 Å, b = 4.003 Å, c = 10.324 Å, α = 90.00°, β = 90.00° and γ = 90.00°. The inequivalent atoms are Ba at (0.000, 0.000, 0.000), Ac at (0.500, 0.500, 0.338) and Si at (0.000, 0.000, 0.500).

Its relative energy among the computed polymorphs is 0.088 eV/f.u. The calculation puts the density of states at the Fermi level at 4.9 states/eV/f.u.

=====

No. 7
The following is a DFT calculation (GGA-PBE) of a geometry-optimized BaAcSi4 structure.

It has space group Cmmm (No. 65), with a = 9.930 Å, b = 13.388 Å, c = 4.650 Å, α = 90.00°, β = 90.00° and γ = 90.00°. The inequivalent atoms are Ba at (0.159, 0.000, 0.000), Ac at (0.000, 0.316, 0.000), Si at (0.000, 0.147, 0.500), Si at (0.118, 0.500, 0.500) and Si at (0.246, 0.161, 0.500).

The calculation puts the density of states at the Fermi level at 2.7 states/eV/f.u.

=====

No. 8
The following is a DFT calculation (GGA-PBE) of a geometry-optimized BaAcSi2 structure.

It has space group P4/mmm (No. 123), with a = 4.230 Å, b = 4.230 Å, c = 7.045 Å, α = 90.00°, β = 90.00° and γ = 90.00°. The inequivalent atoms are Ba at (0.000, 0.000, 0.000), Ac at (0.000, 0.000, 0.500) and Si at (0.500, 0.500, 0.326).

Its relative energy among the computed polymorphs is 0.547 eV/f.u. The calculation puts the density of states at the Fermi level at 2.2 states/eV/f.u.

=====

no.,calculated total energy (eV per cell),total magnetic moment (μB/atom)
1,-43.58,0.00
2,-178.03,0.00
3,-162.58,0.11
4,-48.81,0.29
5,-72.09,0.00
6,-16.18,0.00
7,-115.58,0.00
8,-18.13,0.03